Entry 1:
# PBE Cd2CuSi2, optimized geometry
data_Cd2CuSi2
_space_group_name_H-M_alt 'P 4/m b m'
_space_group_IT_number 127
_space_group_name_Hall '-P 4 2ab'
_cell_length_a 6.050
_cell_length_b 6.050
_cell_length_c 5.081
_cell_angle_alpha 90.00
_cell_angle_beta 90.00
_cell_angle_gamma 90.00
loop_
_atom_site_label
_atom_site_type_symbol
_atom_site_fract_x
_atom_site_fract_y
_atom_site_fract_z
Cd1 Cd 0.186 0.314 0.000
Cu1 Cu 0.000 0.000 0.500
Si1 Si 0.140 0.640 0.500
# Fermi-level density of states	0.3686	states/eV/atom
# formation energy from raw total energies	0.222	eV/atom
# electronic total energy	-15.7	eV/f.u.

---

Entry 2:
# PBE CuHg2F6, optimized geometry
data_CuHg2F6
_space_group_name_H-M_alt 'P 42/m n m'
_space_group_IT_number 136
_space_group_name_Hall '-P 4n 2n'
_cell_length_a 5.043
_cell_length_b 5.043
_cell_length_c 10.873
_cell_angle_alpha 90.00
_cell_angle_beta 90.00
_cell_angle_gamma 90.00
loop_
_atom_site_label
_atom_site_type_symbol
_atom_site_fract_x
_atom_site_fract_y
_atom_site_fract_z
Cu1 Cu 0.000 0.000 0.000
Hg1 Hg 0.000 0.000 0.336
F1 F 0.190 0.190 0.151
F2 F 0.231 0.231 0.500
# Fermi-level density of states	0.4476	states/eV/atom
# formation energy from raw total energies	-1.426	eV/atom
# electronic total energy	-28.8	eV/f.u.

---

Question: What is the formula in the first record?
Answer: Cd2CuSi2

---

Question: What is the electronic total energy in the second record?
Answer: -28.8 eV/f.u.

---

Question: Among the records above, which one has the highest electronic total energy?
Answer: Cd2CuSi2

---

Question: Among the records above, which one has the lowest Fermi-level density of states?
Answer: Cd2CuSi2